Density functional theory data (PBE-GGA) for a relaxed structure of RbMnPdSe2.

Summary:
N(E_F)	8.01	states/eV/cell
energy relative to the elements, uncorrected	-48	kJ per mole of atoms
total energy	-24.769	eV per formula unit

Cell lengths 5.797, 7.612, 5.424 Å; angles 90.00, 90.00, 90.00 degrees
Fractional positions:
Rb1 0.250 0.000 0.217
Rb2 0.750 0.000 0.783
Mn1 0.000 0.500 0.500
Mn2 0.500 0.500 0.500
Pd1 0.250 0.500 0.056
Pd2 0.750 0.500 0.944
Se1 0.250 0.280 0.698
Se2 0.250 0.720 0.698
Se3 0.750 0.280 0.302
Se4 0.750 0.720 0.302